No. 1
Here is a relaxed structure of LaNd2Er3 from Alexandria. Energies are from PBE-GGA. Values from VASP.

Cell and atoms, written as Quantum ESPRESSO input:
```
&SYSTEM
  ibrav = 0, nat = 12, ntyp = 3
/
ATOMIC_SPECIES
La 138.91 La.upf
Nd 144.24 Nd.upf
Er 167.26 Er.upf
ATOMIC_POSITIONS crystal
La 0.450 0.456 0.643
La 0.550 0.544 0.357
Nd 0.875 0.371 0.879
Nd 0.125 0.629 0.121
Nd 0.625 0.125 0.625
Nd 0.375 0.875 0.375
Er 0.050 0.035 0.864
Er 0.950 0.965 0.136
Er 0.705 0.701 0.890
Er 0.295 0.299 0.110
Er 0.793 0.806 0.609
Er 0.207 0.194 0.391
CELL_PARAMETERS angstrom
-2.356 -1.152 -2.234
-3.670 -8.017 5.350
-11.607 -0.936 10.071
```

Properties
Energy above the most stable polymorph in this dataset in kJ/mol of formula units: 97
Formation energy from the elements in meV per atom: 195
Calculated total energy in eV per formula unit: -26.981


No. 2
Here is a relaxed structure of Ta2AgSb from Alexandria. Energies are from PBE-GGA. Values from VASP.

Cell and atoms, written as Quantum ESPRESSO input:
```
&SYSTEM
  ibrav = 0, nat = 4, ntyp = 3
/
ATOMIC_SPECIES
Sb 121.76 Sb.upf
Ag 107.87 Ag.upf
Ta 180.95 Ta.upf
ATOMIC_POSITIONS crystal
Sb 0.000 0.500 0.500
Ag 0.500 0.000 0.500
Ta 0.000 0.000 0.000
Ta 0.500 0.500 0.000
CELL_PARAMETERS angstrom
4.056 0.000 0.000
0.000 4.121 0.000
0.000 0.000 4.505
```

Properties
Formation energy (no corrections) in meV per atom: 270
Calculated total energy in eV per formula unit: -29.598


What are the calculated volume values for these records? In order: 33.96; 18.82 Å³/atom.